Record 1
Computed, not measured: KYOF2 after structural relaxation at the PBE level of DFT. Values from VASP.

Structure (Quantum ESPRESSO input):
```
&SYSTEM
  ibrav = 0, nat = 5, ntyp = 4
/
ATOMIC_SPECIES
Y 88.91 Y.upf
K 39.10 K.upf
O 16.00 O.upf
F 19.00 F.upf
CELL_PARAMETERS angstrom
-3.049 0.273 -3.056
-1.194 -4.074 0.828
-3.155 1.593 3.291
ATOMIC_POSITIONS crystal
Y 0.500 0.500 0.500
K 0.000 0.000 0.000
O 0.000 0.000 0.500
F 0.000 0.500 0.000
F 0.500 0.000 0.000
```

Properties
Density of states at the Fermi level in states/eV per cell: 0.0
Distance to the lowest polymorph of the same formula in meV/atom: 1601.2
Formation energy (no corrections) in eV per atom: -1.659
Total magnetic moment in μB/f.u.: 0.0



Record 2
Computed, not measured: KYOF2 after structural relaxation at the PBE level of DFT. Values from VASP.

Structure (Quantum ESPRESSO input):
```
&SYSTEM
  ibrav = 0, nat = 5, ntyp = 4
/
ATOMIC_SPECIES
Y 88.91 Y.upf
K 39.10 K.upf
O 16.00 O.upf
F 19.00 F.upf
CELL_PARAMETERS angstrom
-0.554 -0.815 -4.406
0.768 -4.391 0.716
-4.264 -0.639 0.654
ATOMIC_POSITIONS crystal
Y 0.000 0.000 0.000
K 0.500 0.500 0.500
O 0.000 0.000 0.500
F 0.000 0.500 0.000
F 0.500 0.000 0.000
```

Properties
Density of states at the Fermi level in states/eV per cell: 0.0
Distance to the lowest polymorph of the same formula in meV/atom: 0.0
Formation energy (no corrections) in eV per atom: -3.260
Total magnetic moment in μB/f.u.: 0.0